K2CuNi2S2O2, relaxed, DFT PBE+U; density = 3756 kg/m³; raw total energy = -3.794 eV/atom; symmetry = I4/mmm
1.0
-1.9341 1.9341 10.4970
1.9341 -1.9341 10.4970
1.9341 1.9341 -10.4970
O S Ni K Cu
2 2 2 2 1
Direct
0.0000 0.5000 0.5000
0.5000 0.0000 0.5000
0.8126 0.8126 0.0000
0.1874 0.1874 0.0000
0.2500 0.7500 0.5000
0.7500 0.2500 0.5000
0.5923 0.5923 0.0000
0.4077 0.4077 0.0000
0.0000 0.0000 0.0000